(1)
## La4SiTe2I (GGA-PBE)

Data for a geometry-optimized La4SiTe2I structure.

Cell lengths 4.502, 7.859, 7.957 Å; angles 71.14, 90.00, 90.00 degrees
Fractional coordinates of all 8 atoms:
Si (0.000, 0.500, 0.500)
La (0.500, 0.272, 0.721)
Te (0.500, 0.000, 0.500)
La (0.000, 0.743, 0.726)
La (0.000, 0.257, 0.274)
Te (0.000, 0.000, 0.000)
I (0.500, 0.500, 0.000)
La (0.500, 0.728, 0.279)

Summary:
**V**: 33.30 Å³/atom
**ΔE_f (raw)**: -1.283 eV/atom
**E_tot**: -5.403 eV per atom
**Theoretical density**: 6.0 g cm⁻³
**Spin magnetization**: 0.0 μB/f.u.

***

(2)
## ReN (GGA-PBE)

Data for a geometry-optimized ReN structure.

Cell lengths 2.794, 2.794, 9.985 Å; angles 90.00, 90.00, 120.00 degrees
Fractional coordinates of all 6 atoms:
N (0.000, 0.000, 0.156)
N (0.667, 0.333, 0.490)
N (0.333, 0.667, 0.823)
Re (0.667, 0.333, 0.284)
Re (0.333, 0.667, 0.618)
Re (0.000, 0.000, 0.951)

Summary:
**Distance to the lowest polymorph of the same formula**: 45 meV per atom
**V**: 11.25 Å³/atom
**ΔE_f (raw)**: 0.089 eV/atom
**E_tot**: -10.298 eV per atom
**Theoretical density**: 14.8 g cm⁻³
**Spin magnetization**: 0.0 μB/f.u.

***

Q: The highest ΔE_f (raw) belongs to which entry?
A: ReN